[1]
In6CuHg5 | PBE | optimized geometry

Computed properties:
The formation energy from the elements is 55.1 kJ/mol of formula units.

CIF file:
```
data_In6CuHg5
_chemical_formula_sum 'In6 Cu1 Hg5'
_space_group_name_H-M_alt 'P 1'
_space_group_IT_number 1
_space_group_name_Hall 'P 1'
_cell_length_a 7.1043
_cell_length_b 7.8146
_cell_length_c 7.8686
_cell_angle_alpha 104.12
_cell_angle_beta 100.00
_cell_angle_gamma 124.01
loop_
_atom_site_label
_atom_site_type_symbol
_atom_site_fract_x
_atom_site_fract_y
_atom_site_fract_z
Hg1 Hg 0.3011 0.8011 0.6022
Hg2 Hg 0.6620 0.6620 0.3241
Hg3 Hg 0.0000 0.5000 0.0000
Hg4 Hg 0.3380 0.3380 0.6759
Hg5 Hg 0.6989 0.1989 0.3978
Cu1 Cu 0.0000 0.0000 0.0000
In1 In 0.1397 0.3614 0.2945
In2 In 0.1548 0.9332 0.2945
In3 In 0.4628 0.1996 0.0000
In4 In 0.5372 0.8004 0.0000
In5 In 0.8452 0.0668 0.7055
In6 In 0.8603 0.6386 0.7055
```

[2]
MnAlCl2 | PBE | optimized geometry

Computed properties:
The formation energy without anion corrections comes out at -29.5 kJ per mole of atoms. The value obtained for the energy relative to the lowest polymorph listed for this composition is 329 meV/atom.

CIF file:
```
data_MnAlCl2
_chemical_formula_sum 'Mn1 Al1 Cl2'
_space_group_name_H-M_alt 'P 1'
_space_group_IT_number 1
_space_group_name_Hall 'P 1'
_cell_length_a 3.3968
_cell_length_b 5.6344
_cell_length_c 5.6546
_cell_angle_alpha 63.74
_cell_angle_beta 90.00
_cell_angle_gamma 90.00
loop_
_atom_site_label
_atom_site_type_symbol
_atom_site_fract_x
_atom_site_fract_y
_atom_site_fract_z
Mn1 Mn 0.5000 0.2500 0.2500
Al1 Al 0.5000 0.7500 0.7500
Cl1 Cl 0.0000 0.0720 0.0716
Cl2 Cl 0.0000 0.4280 0.4284
```

[3]
Cs3Ce3PdS8 | PBE | optimized geometry

Computed properties:
The formation energy without anion corrections comes out at -142.3 kJ per mole of atoms.

CIF file:
```
data_Cs3Ce3PdS8
_chemical_formula_sum 'Cs3 Ce3 Pd1 S8'
_space_group_name_H-M_alt 'P 1'
_space_group_IT_number 1
_space_group_name_Hall 'P 1'
_cell_length_a 7.9175
_cell_length_b 8.3610
_cell_length_c 9.4903
_cell_angle_alpha 117.76
_cell_angle_beta 90.00
_cell_angle_gamma 118.26
loop_
_atom_site_label
_atom_site_type_symbol
_atom_site_fract_x
_atom_site_fract_y
_atom_site_fract_z
Cs1 Cs 0.0000 0.0000 0.0000
Cs2 Cs 0.0000 0.5000 0.0000
Cs3 Cs 0.5000 0.5000 0.0000
Ce1 Ce 0.5000 0.0000 0.5000
Ce2 Ce 0.5000 0.5000 0.5000
Ce3 Ce 0.0000 0.5000 0.5000
Pd1 Pd 0.0000 0.0000 0.5000
S1 S 0.2741 0.5482 0.3134
S2 S 0.7259 0.4518 0.6866
S3 S 0.7030 0.4060 0.2772
S4 S 0.2970 0.5940 0.7228
S5 S 0.8069 0.0500 0.3461
S6 S 0.1931 0.9500 0.6539
S7 S 0.2431 0.0500 0.3461
S8 S 0.7569 0.9500 0.6539
```

[4]
DyCoBr | PBE | optimized geometry

Computed properties:
The formation energy without anion corrections comes out at -98.2 kJ per mole of atoms.

CIF file:
```
data_DyCoBr
_chemical_formula_sum 'Dy2 Co2 Br2'
_space_group_name_H-M_alt 'P 1'
_space_group_IT_number 1
_space_group_name_Hall 'P 1'
_cell_length_a 3.9078
_cell_length_b 3.9083
_cell_length_c 11.9025
_cell_angle_alpha 80.75
_cell_angle_beta 80.55
_cell_angle_gamma 60.00
loop_
_atom_site_label
_atom_site_type_symbol
_atom_site_fract_x
_atom_site_fract_y
_atom_site_fract_z
Dy1 Dy 0.0488 0.7377 0.1646
Dy2 Dy 0.1568 0.8396 0.8469
Co1 Co 0.4362 0.1218 0.0057
Co2 Co 0.7695 0.4551 0.0058
Br1 Br 0.5462 0.2259 0.6818
Br2 Br 0.3257 0.0187 0.3298
```

[5]
BaBeNO2 | PBE | optimized geometry

Computed properties:
The formation energy without anion corrections comes out at 120.5 kJ per mole of atoms.

CIF file:
```
data_BaBeNO2
_chemical_formula_sum 'Ba1 Be1 N1 O2'
_space_group_name_H-M_alt 'P 1'
_space_group_IT_number 1
_space_group_name_Hall 'P 1'
_cell_length_a 4.4121
_cell_length_b 4.4121
_cell_length_c 4.7207
_cell_angle_alpha 90.00
_cell_angle_beta 90.00
_cell_angle_gamma 90.00
loop_
_atom_site_label
_atom_site_type_symbol
_atom_site_fract_x
_atom_site_fract_y
_atom_site_fract_z
Be1 Be 0.5000 0.5000 0.5000
Ba1 Ba 0.0000 0.0000 0.0000
O1 O 0.0000 0.5000 0.0000
O2 O 0.5000 0.0000 0.0000
N1 N 0.0000 0.0000 0.5000
```

[6]
In2PdF | PBE | optimized geometry

Computed properties:
The formation energy without anion corrections comes out at -76.7 kJ per mole of atoms. The value obtained for the energy relative to the lowest polymorph listed for this composition is 0 meV/atom.

CIF file:
```
data_In2PdF
_chemical_formula_sum 'In2 Pd1 F1'
_space_group_name_H-M_alt 'P 1'
_space_group_IT_number 1
_space_group_name_Hall 'P 1'
_cell_length_a 4.6972
_cell_length_b 4.6972
_cell_length_c 4.6972
_cell_angle_alpha 60.00
_cell_angle_beta 60.00
_cell_angle_gamma 60.00
loop_
_atom_site_label
_atom_site_type_symbol
_atom_site_fract_x
_atom_site_fract_y
_atom_site_fract_z
F1 F 0.0000 0.0000 0.0000
Pd1 Pd 0.5000 0.5000 0.5000
In1 In 0.2500 0.2500 0.2500
In2 In 0.7500 0.7500 0.7500
```

[7]
HfZrBr | PBE | optimized geometry

Computed properties:
The formation energy without anion corrections comes out at -30.0 kJ per mole of atoms.

CIF file:
```
data_HfZrBr
_chemical_formula_sum 'Hf2 Zr2 Br2'
_space_group_name_H-M_alt 'P 1'
_space_group_IT_number 1
_space_group_name_Hall 'P 1'
_cell_length_a 6.3325
_cell_length_b 3.2620
_cell_length_c 21.5033
_cell_angle_alpha 132.54
_cell_angle_beta 152.75
_cell_angle_gamma 58.88
loop_
_atom_site_label
_atom_site_type_symbol
_atom_site_fract_x
_atom_site_fract_y
_atom_site_fract_z
Zr1 Zr 0.3939 0.7301 0.7576
Zr2 Zr 0.6061 0.2699 0.2424
Hf1 Hf 0.6055 0.5925 0.4421
Hf2 Hf 0.3945 0.4075 0.5579
Br1 Br 0.0698 0.4206 0.8279
Br2 Br 0.9302 0.5794 0.1721
```

[8]
Cs2PaInS6 | PBE | optimized geometry

Computed properties:
The formation energy without anion corrections comes out at -92.7 kJ per mole of atoms.

CIF file:
```
data_Cs2PaInS6
_chemical_formula_sum 'Cs2 Pa1 In1 S6'
_space_group_name_H-M_alt 'P 1'
_space_group_IT_number 1
_space_group_name_Hall 'P 1'
_cell_length_a 7.4352
_cell_length_b 7.4352
_cell_length_c 7.4352
_cell_angle_alpha 60.00
_cell_angle_beta 60.00
_cell_angle_gamma 60.00
loop_
_atom_site_label
_atom_site_type_symbol
_atom_site_fract_x
_atom_site_fract_y
_atom_site_fract_z
Cs1 Cs 0.7500 0.7500 0.7500
Cs2 Cs 0.2500 0.2500 0.2500
Pa1 Pa 0.5000 0.5000 0.5000
In1 In 0.0000 0.0000 0.0000
S1 S 0.2511 0.7489 0.7489
S2 S 0.2511 0.7489 0.2511
S3 S 0.2511 0.2511 0.7489
S4 S 0.7489 0.7489 0.2511
S5 S 0.7489 0.2511 0.2511
S6 S 0.7489 0.2511 0.7489
```

[9]
Na2PtBr2Cl4 | PBE | optimized geometry

Computed properties:
The formation energy without anion corrections comes out at -95.8 kJ per mole of atoms.

CIF file:
```
data_Na2PtBr2Cl4
_chemical_formula_sum 'Na2 Pt1 Br2 Cl4'
_space_group_name_H-M_alt 'P 1'
_space_group_IT_number 1
_space_group_name_Hall 'P 1'
_cell_length_a 6.8564
_cell_length_b 6.9489
_cell_length_c 6.9489
_cell_angle_alpha 60.54
_cell_angle_beta 61.50
_cell_angle_gamma 61.50
loop_
_atom_site_label
_atom_site_type_symbol
_atom_site_fract_x
_atom_site_fract_y
_atom_site_fract_z
Na1 Na 0.3037 0.7509 0.7509
Na2 Na 0.6963 0.2491 0.2491
Pt1 Pt 0.5000 0.0000 0.0000
Br1 Br 0.1498 0.2367 0.2367
Br2 Br 0.8502 0.7633 0.7633
Cl1 Cl 0.3288 0.7049 0.1770
Cl2 Cl 0.6712 0.8230 0.2951
Cl3 Cl 0.6712 0.2951 0.8230
Cl4 Cl 0.3288 0.1770 0.7049
```

[10]
AcTmPdRu | PBE | optimized geometry

Computed properties:
The formation energy from the elements is -168.8 kJ/mol of formula units.

CIF file:
```
data_AcTmPdRu
_chemical_formula_sum 'Ac1 Tm1 Pd1 Ru1'
_space_group_name_H-M_alt 'P 1'
_space_group_IT_number 1
_space_group_name_Hall 'P 1'
_cell_length_a 5.0610
_cell_length_b 5.0610
_cell_length_c 5.0610
_cell_angle_alpha 60.00
_cell_angle_beta 60.00
_cell_angle_gamma 60.00
loop_
_atom_site_label
_atom_site_type_symbol
_atom_site_fract_x
_atom_site_fract_y
_atom_site_fract_z
Ru1 Ru 0.7500 0.7500 0.7500
Ac1 Ac 0.0000 0.0000 0.0000
Tm1 Tm 0.5000 0.5000 0.5000
Pd1 Pd 0.2500 0.2500 0.2500
```

[11]
Ba2LiPmHg6 | PBE | optimized geometry

Computed properties:
The formation energy from the elements is -361.5 kJ/mol of formula units.

CIF file:
```
data_Ba2LiPmHg6
_chemical_formula_sum 'Ba2 Li1 Pm1 Hg6'
_space_group_name_H-M_alt 'P 1'
_space_group_IT_number 1
_space_group_name_Hall 'P 1'
_cell_length_a 7.6802
_cell_length_b 9.7789
_cell_length_c 6.0769
_cell_angle_alpha 67.41
_cell_angle_beta 48.97
_cell_angle_gamma 89.36
loop_
_atom_site_label
_atom_site_type_symbol
_atom_site_fract_x
_atom_site_fract_y
_atom_site_fract_z
Ba1 Ba 0.3830 0.8200 0.4370
Ba2 Ba 0.6170 0.1800 0.5630
Li1 Li 0.0000 0.0000 0.0000
Pm1 Pm 0.5000 0.5000 0.0000
Hg1 Hg 0.1150 0.6877 0.2421
Hg2 Hg 0.7745 0.5988 0.1888
Hg3 Hg 0.1816 0.1435 0.3691
Hg4 Hg 0.8850 0.3123 0.7579
Hg5 Hg 0.2255 0.4012 0.8112
Hg6 Hg 0.8184 0.8565 0.6309
```

[12]
Si3AgOs | PBE | optimized geometry

Computed properties:
The formation energy without anion corrections comes out at 54.5 kJ per mole of atoms. The value obtained for the energy relative to the lowest polymorph listed for this composition is 0 meV/atom.

CIF file:
```
data_Si3AgOs
_chemical_formula_sum 'Si3 Ag1 Os1'
_space_group_name_H-M_alt 'P 1'
_space_group_IT_number 1
_space_group_name_Hall 'P 1'
_cell_length_a 4.6724
_cell_length_b 4.6724
_cell_length_c 4.6724
_cell_angle_alpha 90.00
_cell_angle_beta 90.00
_cell_angle_gamma 90.00
loop_
_atom_site_label
_atom_site_type_symbol
_atom_site_fract_x
_atom_site_fract_y
_atom_site_fract_z
Si1 Si 0.0000 0.5000 0.0000
Si2 Si 0.0000 0.0000 0.5000
Si3 Si 0.5000 0.0000 0.0000
Os1 Os 0.0000 0.0000 0.0000
Ag1 Ag 0.5000 0.5000 0.5000
```

[13]
Zr2RhCl | PBE | optimized geometry

Computed properties:
The formation energy without anion corrections comes out at -30.8 kJ per mole of atoms. The value obtained for the energy relative to the lowest polymorph listed for this composition is 413 meV/atom.

CIF file:
```
data_Zr2RhCl
_chemical_formula_sum 'Zr2 Rh1 Cl1'
_space_group_name_H-M_alt 'P 1'
_space_group_IT_number 1
_space_group_name_Hall 'P 1'
_cell_length_a 6.1011
_cell_length_b 6.1011
_cell_length_c 6.1011
_cell_angle_alpha 144.25
_cell_angle_beta 144.25
_cell_angle_gamma 51.46
loop_
_atom_site_label
_atom_site_type_symbol
_atom_site_fract_x
_atom_site_fract_y
_atom_site_fract_z
Cl1 Cl 0.5000 0.5000 0.0000
Rh1 Rh 0.7500 0.2500 0.5000
Zr1 Zr 0.0000 0.0000 0.0000
Zr2 Zr 0.2500 0.7500 0.5000
```